(1)
Ca6GaSi2 PBE relaxed; M_tot = 2.3 μB/cell; V = 263.6 Å³/f.u.; formation energy (no corrections) = -0.3594 eV/atom
1.0
-4.901 5.025 5.352
4.901 -5.025 5.352
4.901 5.025 -5.352
Ca Ga Si
12 2 4
Direct
0.058 0.249 0.809
0.177 0.273 0.450
0.177 0.727 0.904
0.336 0.021 0.684
0.336 0.652 0.316
0.439 0.249 0.191
0.561 0.751 0.809
0.664 0.348 0.684
0.664 0.979 0.316
0.823 0.273 0.096
0.823 0.727 0.550
0.942 0.751 0.191
0.000 0.000 0.000
0.500 0.500 0.000
0.112 0.612 0.500
0.325 0.000 0.325
0.675 0.000 0.675
0.888 0.388 0.500

---

(2)
Mn2CoHIr PBE relaxed; total energy = -7.578 eV/atom; M_tot = 2.6 μB/cell; V = 49.4 Å³/f.u.
1.0
3.674 0.000 0.000
0.000 3.674 0.000
0.000 0.000 3.661
Mn Co H Ir
2 1 1 1
Direct
0.000 0.500 0.000
0.500 0.000 0.000
0.000 0.000 0.500
0.000 0.000 0.000
0.500 0.500 0.500

---

Repeat the second record exactly.
Mn2CoHIr PBE relaxed; total energy = -7.578 eV/atom; M_tot = 2.6 μB/cell; V = 49.4 Å³/f.u.
1.0
3.674 0.000 0.000
0.000 3.674 0.000
0.000 0.000 3.661
Mn Co H Ir
2 1 1 1
Direct
0.000 0.500 0.000
0.500 0.000 0.000
0.000 0.000 0.500
0.000 0.000 0.000
0.500 0.500 0.500

---

Q: Look up the M_tot of the second one.
A: 2.6 μB/cell

---

Copy entry 2 word for word.
Mn2CoHIr PBE relaxed; total energy = -7.578 eV/atom; M_tot = 2.6 μB/cell; V = 49.4 Å³/f.u.
1.0
3.674 0.000 0.000
0.000 3.674 0.000
0.000 0.000 3.661
Mn Co H Ir
2 1 1 1
Direct
0.000 0.500 0.000
0.500 0.000 0.000
0.000 0.000 0.500
0.000 0.000 0.000
0.500 0.500 0.500